1.
DFT (PBE) results for LiMnP after structural relaxation.

Properties
- formation energy from the elements (eV per atom) = -0.50
- total energy (eV per atom) = -5.994

Lattice parameters (Å, degrees): 3.809 3.809 5.772 90.00 90.00 90.00
Space group P4/nmm (No. 129, origin choice 2)
Asymmetric unit:
Li: 0.250 0.750 0.000 (multiplicity 2)
Mn: 0.250 0.750 0.500 (multiplicity 2)
P: 0.250 0.250 0.283 (multiplicity 2)



2.
DFT (PBE) results for Be2PSe after structural relaxation.

Properties
- E_form (uncorrected) (eV/atom) = -0.2498
- polymorph energy (0 for the lowest one) (meV/atom) = 90
- total energy (eV per atom) = -4.336

Lattice parameters (Å, degrees): 3.459 3.459 7.069 90.14 90.29 118.56
Space group P1 (No. 1)
Asymmetric unit:
Be: 0.000 0.000 0.000 (multiplicity 1)
Be: 0.334 0.660 0.824 (multiplicity 1)
P: 0.342 0.662 0.132 (multiplicity 1)
Se: 0.995 0.995 0.683 (multiplicity 1)



3.
DFT (PBE) results for La5As3 after structural relaxation.

Properties
- formation energy from the elements (eV per atom) = -1.07
- polymorph energy (0 for the lowest one) (meV/atom) = 51
- total energy (eV per atom) = -5.897

Lattice parameters (Å, degrees): 7.229 8.297 8.303 83.40 75.12 75.01
Space group P-1 (No. 2)
Asymmetric unit:
La: 0.023 0.123 0.185 (multiplicity 2)
La: 0.097 0.713 0.384 (multiplicity 2)
La: 0.250 0.463 0.037 (multiplicity 2)
La: 0.405 0.116 0.786 (multiplicity 2)
La: 0.477 0.315 0.377 (multiplicity 2)
As: 0.174 0.499 0.693 (multiplicity 2)
As: 0.250 0.005 0.494 (multiplicity 2)
As: 0.325 0.807 0.001 (multiplicity 2)